! UTi2NbC4 (PBE, optimized geometry); values from VASP
&SYSTEM
  ibrav = 0, nat = 8, ntyp = 4
/
ATOMIC_SPECIES
U 238.03 U.upf
Ti 47.87 Ti.upf
Nb 92.91 Nb.upf
C 12.01 C.upf
CELL_PARAMETERS angstrom
5.550 0.000 0.000
0.000 3.189 0.000
-1.856 0.000 5.322
ATOMIC_POSITIONS crystal
U 0.000 0.000 0.000
Ti 0.500 0.000 0.500
Ti 0.500 0.500 0.000
Nb 0.000 0.500 0.500
C 0.256 0.000 0.751
C 0.266 0.500 0.264
C 0.734 0.500 0.736
C 0.744 0.000 0.249
! Density in g/cm3: 8.369
! DFT total energy in eV per atom: -9.795
! E_form in eV/atom: -0.540